Entry 1:
# FeCuNiPd (PBE, relaxed)
data_FeCuNiPd
_space_group_name_H-M_alt 'F -4 3 m'
_space_group_IT_number 216
_space_group_name_Hall 'F -4 2 3'
_cell_length_a 5.894
_cell_length_b 5.894
_cell_length_c 5.894
_cell_angle_alpha 90.00
_cell_angle_beta 90.00
_cell_angle_gamma 90.00
loop_
_atom_site_label
_atom_site_fract_x
_atom_site_fract_y
_atom_site_fract_z
_atom_site_occupancy
Fe1 0.000 0.000 0.000 1
Cu1 0.000 0.000 0.500 1
Ni1 0.250 0.250 0.250 1
Pd1 0.250 0.250 0.750 1
# E_form	0.013	eV per atom

Entry 2:
# BaAl2Br (PBE, relaxed)
data_BaAl2Br
_space_group_name_H-M_alt 'C m m 2'
_space_group_IT_number 35
_cell_length_a 5.485
_cell_length_b 5.493
_cell_length_c 9.374
_cell_angle_alpha 90.00
_cell_angle_beta 90.00
_cell_angle_gamma 90.00
loop_
_space_group_symop_operation_xyz
'x,y,z'
'-x,-y,z'
'-x,y,z'
'x,-y,z'
'x+1/2,y+1/2,z'
'-x+1/2,-y+1/2,z'
'-x+1/2,y+1/2,z'
'x+1/2,-y+1/2,z'
loop_
_atom_site_label
_atom_site_fract_x
_atom_site_fract_y
_atom_site_fract_z
_atom_site_occupancy
Ba1 0.000 0.000 0.000 1
Al1 0.000 0.000 0.364 1
Al2 0.000 0.500 0.293 1
Br1 0.000 0.500 0.815 1
# formation energy without anion corrections	-0.43	eV per atom

Entry 3:
# CsLi2Np3Te6 (PBE, relaxed)
data_CsLi2Np3Te6
_space_group_name_H-M_alt 'C 1 2/m 1'
_space_group_IT_number 12
_cell_length_a 21.999
_cell_length_b 4.516
_cell_length_c 10.622
_cell_angle_alpha 90.00
_cell_angle_beta 114.52
_cell_angle_gamma 90.00
loop_
_space_group_symop_operation_xyz
'x,y,z'
'-x,-y,-z'
'-x,y,-z'
'x,-y,z'
'x+1/2,y+1/2,z'
'-x+1/2,-y+1/2,-z'
'-x+1/2,y+1/2,-z'
'x+1/2,-y+1/2,z'
loop_
_atom_site_label
_atom_site_fract_x
_atom_site_fract_y
_atom_site_fract_z
_atom_site_occupancy
Cs1 0.000 0.000 0.000 1
Li1 0.126 0.500 0.457 1
Np1 0.000 0.000 0.500 1
Np2 0.169 0.500 0.837 1
Te1 0.009 0.500 0.713 1
Te2 0.159 0.000 0.617 1
Te3 0.177 0.000 0.043 1
# formation energy without anion corrections	-0.76	eV per atom

Entry 4:
# Li2MnHg (PBE, relaxed)
data_Li2MnHg
_space_group_name_H-M_alt 'P m m m'
_space_group_IT_number 47
_cell_length_a 3.856
_cell_length_b 4.162
_cell_length_c 4.178
_cell_angle_alpha 90.00
_cell_angle_beta 90.00
_cell_angle_gamma 90.00
loop_
_space_group_symop_operation_xyz
'x,y,z'
'-x,-y,-z'
'-x,-y,z'
'x,y,-z'
'x,-y,-z'
'-x,y,z'
'-x,y,-z'
'x,-y,z'
loop_
_atom_site_label
_atom_site_fract_x
_atom_site_fract_y
_atom_site_fract_z
_atom_site_occupancy
Li1 0.000 0.000 0.000 1
Li2 0.500 0.000 0.500 1
Mn1 0.000 0.500 0.500 1
Hg1 0.500 0.500 0.000 1
# E_form	0.054	eV per atom